Record 1
5
Lattice="-3.252 -2.493 2.298 3.376 -2.669 1.883 0.307 2.955 3.639" Properties=species:S:1:pos:R:3 comment="PBE KZr3N, relaxed" e_form_raw_ev_per_atom=0.13 energy_ev_per_atom=-6.885 density_g_cm3=5.23 total_magnetization_mub_per_cell=0.00 pbc="T T T"
Zr 0.153 1.478 1.820
Zr 1.688 -1.335 0.941
Zr -1.626 -1.246 1.149
N 0.000 0.000 0.000
K 0.216 -1.103 3.910


Record 2
4
Lattice="0.000 2.962 2.962 2.962 0.000 2.962 2.962 2.962 0.000" Properties=species:S:1:pos:R:3 comment="PBE KZrN2, relaxed" e_form_raw_ev_per_atom=0.53 energy_ev_per_atom=-6.043 density_g_cm3=5.06 relative_energy_ev_per_atom=1.0546 total_magnetization_mub_per_cell=0.00 pbc="T T T"
Zr 2.962 2.962 2.962
K 0.000 0.000 0.000
N 1.481 1.481 1.481
N 4.443 4.443 4.443